Entry 1:
Entry from the Alexandria database: an optimized crystal structure of Nb2BiC (PBE).

Calculated values
ΔE_f ... 1.1249 eV/atom
Calculated density ... 9.96 Mg/m³

Cell lengths 4.5776, 4.5776, 4.5776 Å; angles 60.00, 60.00, 60.00 degrees
Last column: nearest neighbours and their distance in Å.
Fractional coordinates of all 4 atoms:
C: 0.0000 0.0000 0.0000  8 Nb 2.80
Nb: 0.2500 0.2500 0.2500  4 Bi 2.80, 4 C 2.80
Nb: 0.7500 0.7500 0.7500  4 C 2.80, 4 Bi 2.80
Bi: 0.5000 0.5000 0.5000  8 Nb 2.80

***

Entry 2:
Entry from the Alexandria database: an optimized crystal structure of K2TcI2Br4 (PBE).

Calculated values
Calculated density ... 3.79 Mg/m³
Uncorrected formation energy ... -0.9225 eV per atom

Cell lengths 7.8565, 7.6444, 7.6444 Å; angles 59.99, 60.86, 60.86 degrees
Last column: nearest neighbours and their distance in Å.
Fractional coordinates of all 9 atoms:
K: 0.2851 0.7469 0.7469  4 Br 3.44-3.47, 1 I 3.62
K: 0.7149 0.2531 0.2531  4 Br 3.44-3.47, 1 I 3.62
Tc: 0.5000 0.0000 0.0000  4 Br 2.54, 2 I 2.76
I: 0.1838 0.2441 0.2441  1 Tc 2.76
I: 0.8162 0.7559 0.7559  1 Tc 2.76
Br: 0.3140 0.7264 0.1955  1 Tc 2.54
Br: 0.6860 0.8045 0.2736  1 Tc 2.54
Br: 0.6860 0.2736 0.8045  1 Tc 2.54
Br: 0.3140 0.1955 0.7264  1 Tc 2.54

***

Entry 3:
Entry from the Alexandria database: an optimized crystal structure of SnTeBrO2 (PBE).

Calculated values
Calculated density ... 4.82 Mg/m³
Uncorrected formation energy ... -0.2992 eV per atom

Cell lengths 4.0386, 7.5679, 4.0386 Å; angles 90.00, 90.00, 90.00 degrees
Last column: nearest neighbours and their distance in Å.
Fractional coordinates of all 5 atoms:
O: 0.0000 0.0000 0.5000  2 Sn 2.02
O: 0.5000 0.0000 0.0000  2 Sn 2.02
Te: 0.5000 0.5000 0.5000  4 Br 2.86
Sn: 0.0000 0.0000 0.0000  4 O 2.02
Br: 0.0000 0.5000 0.0000  4 Te 2.86

***

Entry 4:
Entry from the Alexandria database: an optimized crystal structure of Nb2CuS4 (PBE).

Calculated values
Energy relative to the lowest polymorph listed for this composition ... 0.952 eV/atom
Calculated density ... 4.85 Mg/m³
Uncorrected formation energy ... 0.0230 eV per atom

Cell lengths 4.4288, 4.4288, 7.2969 Å; angles 72.33, 72.33, 90.00 degrees
Last column: nearest neighbours and their distance in Å.
Fractional coordinates of all 7 atoms:
Nb: 0.3775 0.3775 0.2449  1 S 2.36
Nb: 0.6225 0.6225 0.7551  1 S 2.36
S: 0.1985 0.1985 0.6031  1 Nb 2.36, 1 Cu 2.62
S: 0.8015 0.8015 0.3969  1 Nb 2.36, 1 Cu 2.62
S: 0.0000 0.5000 0.0000  2 Cu 2.21
S: 0.5000 0.0000 0.0000  2 Cu 2.21
Cu: 0.0000 0.0000 0.0000  4 S 2.21

***

Entry 5:
Entry from the Alexandria database: an optimized crystal structure of RbSi2SBr (PBE).

Calculated values
Calculated density ... 1.60 Mg/m³
Uncorrected formation energy ... 1.6704 eV per atom

Cell lengths 6.6466, 5.9507, 6.6466 Å; angles 90.00, 90.00, 90.00 degrees
Last column: nearest neighbours and their distance in Å.
Fractional coordinates of all 5 atoms:
S: 0.5000 0.5000 0.5000  8 Si 4.46, 4 Br 4.70
Si: 0.0000 0.0000 0.5000  2 Rb 3.32
Si: 0.5000 0.0000 0.0000  2 Rb 3.32
Br: 0.0000 0.5000 0.0000  2 Rb 2.98
Rb: 0.0000 0.0000 0.0000  2 Br 2.98, 4 Si 3.32

***

Entry 6:
Entry from the Alexandria database: an optimized crystal structure of Ba2Ni2Te (PBE).

Calculated values
Calculated density ... 6.28 Mg/m³
Uncorrected formation energy ... -0.3240 eV per atom

Cell lengths 7.8354, 7.8354, 4.4774 Å; angles 90.00, 90.00, 90.00 degrees
Last column: nearest neighbours and their distance in Å.
Fractional coordinates of all 10 atoms:
Ni: 0.3965 0.8965 0.0000  1 Ni 2.29
Ni: 0.8965 0.6035 0.0000  1 Ni 2.29
Ni: 0.6035 0.1035 0.0000  1 Ni 2.29
Ni: 0.1035 0.3965 0.0000  1 Ni 2.29
Te: 0.0000 0.0000 0.0000  4 Ni 3.21
Te: 0.5000 0.5000 0.0000  4 Ni 3.21
Ba: 0.1867 0.6867 0.5000  6 Ni 3.23-3.26
Ba: 0.6867 0.8133 0.5000  6 Ni 3.23-3.26
Ba: 0.8133 0.3133 0.5000  6 Ni 3.23-3.26
Ba: 0.3133 0.1867 0.5000  6 Ni 3.23-3.26

***

Entry 7:
Entry from the Alexandria database: an optimized crystal structure of KScMn2 (PBE).

Calculated values
Energy relative to the lowest polymorph listed for this composition ... 0.576 eV/atom
ΔE_f ... 1.0179 eV/atom
Calculated density ... 3.53 Mg/m³

Cell lengths 5.0506, 5.0506, 5.0506 Å; angles 60.00, 60.00, 60.00 degrees
Last column: nearest neighbours and their distance in Å.
Fractional coordinates of all 4 atoms:
K: 0.5000 0.5000 0.5000  4 Sc 3.09, 4 Mn 3.09
Mn: 0.0000 0.0000 0.0000  4 Mn 3.09, 4 Sc 3.09
Mn: 0.2500 0.2500 0.2500  4 Mn 3.09, 4 K 3.09
Sc: 0.7500 0.7500 0.7500  4 Mn 3.09, 4 K 3.09

***

Entry 8:
Entry from the Alexandria database: an optimized crystal structure of Tb6Er3Sc2 (PBE).

Calculated values
Energy relative to the lowest polymorph listed for this composition ... 0.106 eV/atom
ΔE_f ... 0.3094 eV/atom
Calculated density ... 7.31 Mg/m³

Cell lengths 4.6928, 4.6928, 16.2800 Å; angles 98.29, 98.29, 90.00 degrees
Last column: nearest neighbours and their distance in Å.
Fractional coordinates of all 11 atoms:
Tb: 0.1159 0.6159 0.2318  2 Sc 3.29, 6 Tb 3.32-3.44, 2 Er 3.51
Tb: 0.6159 0.1159 0.2318  2 Sc 3.29, 6 Tb 3.32-3.44, 2 Er 3.51
Tb: 0.8841 0.3841 0.7682  2 Sc 3.29, 6 Tb 3.32-3.44, 2 Er 3.51
Tb: 0.3841 0.8841 0.7682  2 Sc 3.29, 6 Tb 3.32-3.44, 2 Er 3.51
Tb: 0.6949 0.6949 0.3897  5 Er 3.32-3.42, 4 Tb 3.44
Tb: 0.3051 0.3051 0.6103  5 Er 3.32-3.42, 4 Tb 3.44
Er: 0.0000 0.0000 0.0000  8 Sc 3.60
Er: 0.8020 0.8020 0.6041  9 Tb 3.32-3.51
Er: 0.1980 0.1980 0.3959  9 Tb 3.32-3.51
Sc: 0.4566 0.4566 0.9131  1 Sc 2.77
Sc: 0.5434 0.5434 0.0869  1 Sc 2.77

***

Entry 9:
Entry from the Alexandria database: an optimized crystal structure of Fe3SbBr (PBE).

Calculated values
Energy relative to the lowest polymorph listed for this composition ... 0.000 eV/atom
Calculated density ... 6.62 Mg/m³
Uncorrected formation energy ... 1.0667 eV per atom

Cell lengths 4.5240, 4.5240, 4.5240 Å; angles 90.00, 90.00, 90.00 degrees
Last column: nearest neighbours and their distance in Å.
Fractional coordinates of all 5 atoms:
Sb: 0.5000 0.5000 0.5000  12 Fe 3.20
Fe: 0.0000 0.5000 0.0000  2 Br 2.26
Fe: 0.0000 0.0000 0.5000  2 Br 2.26
Fe: 0.5000 0.0000 0.0000  2 Br 2.26
Br: 0.0000 0.0000 0.0000  6 Fe 2.26

***

Entry 10:
Entry from the Alexandria database: an optimized crystal structure of KSrHfHg2 (PBE).

Calculated values
ΔE_f ... 0.3960 eV/atom
Calculated density ... 6.08 Mg/m³

Cell lengths 5.6189, 6.1062, 5.6189 Å; angles 90.00, 90.00, 90.00 degrees
Last column: nearest neighbours and their distance in Å.
Fractional coordinates of all 5 atoms:
Sr: 0.0000 0.5000 0.0000  2 Hf 3.05
K: 0.5000 0.5000 0.5000  4 Sr 3.97, 8 Hg 4.15
Hf: 0.0000 0.0000 0.0000  4 Hg 2.81, 2 Sr 3.05
Hg: 0.0000 0.0000 0.5000  2 Hf 2.81
Hg: 0.5000 0.0000 0.0000  2 Hf 2.81

***

Entry 11:
Entry from the Alexandria database: an optimized crystal structure of Li15Ca2Sn2 (PBE).

Calculated values
ΔE_f ... -0.1203 eV/atom
Calculated density ... 1.73 Mg/m³

Cell lengths 7.4557, 7.4557, 7.4557 Å; angles 83.00, 83.00, 83.00 degrees
Last column: nearest neighbours and their distance in Å.
Fractional coordinates of all 19 atoms:
Li: 0.5000 0.0000 0.0000  8 Li 2.80-2.82, 2 Sn 2.95
Li: 0.0000 0.0000 0.5000  8 Li 2.80-2.82, 2 Sn 2.95
Li: 0.0000 0.5000 0.0000  8 Li 2.80-2.82, 2 Sn 2.95
Li: 0.0000 0.7333 0.2667  4 Li 2.64-2.80
Li: 0.7333 0.2667 0.0000  4 Li 2.64-2.80
Li: 0.2667 0.0000 0.7333  4 Li 2.64-2.80
Li: 0.2667 0.7333 0.0000  4 Li 2.64-2.80
Li: 0.7333 0.0000 0.2667  4 Li 2.64-2.80
Li: 0.0000 0.2667 0.7333  4 Li 2.64-2.80
Li: 0.1242 0.6454 0.6454  8 Li 2.82-3.13, 1 Sn 2.97
Li: 0.6454 0.6454 0.1242  8 Li 2.82-3.13, 1 Sn 2.97
Li: 0.6454 0.1242 0.6454  8 Li 2.82-3.13, 1 Sn 2.97
Li: 0.8758 0.3546 0.3546  8 Li 2.82-3.13, 1 Sn 2.97
Li: 0.3546 0.3546 0.8758  8 Li 2.82-3.13, 1 Sn 2.97
Li: 0.3546 0.8758 0.3546  8 Li 2.82-3.13, 1 Sn 2.97
Ca: 0.3507 0.3507 0.3507  1 Sn 3.41, 12 Li 3.45-3.68
Ca: 0.6493 0.6493 0.6493  1 Sn 3.41, 12 Li 3.45-3.68
Sn: 0.1142 0.1142 0.1142  12 Li 2.95-3.11, 1 Sn 3.29
Sn: 0.8858 0.8858 0.8858  12 Li 2.95-3.11, 1 Sn 3.29

***

Entry 12:
Entry from the Alexandria database: an optimized crystal structure of MnTlCu2Cl6 (PBE).

Calculated values
Calculated density ... 3.45 Mg/m³
Uncorrected formation energy ... -0.7630 eV per atom

Cell lengths 7.8836, 9.1126, 9.1126 Å; angles 79.78, 69.95, 69.95 degrees
Last column: nearest neighbours and their distance in Å.
Fractional coordinates of all 20 atoms:
Mn: 0.2500 0.1825 0.8175  4 Cl 2.30-2.34
Mn: 0.7500 0.8175 0.1825  4 Cl 2.30-2.34
Tl: 0.2500 0.8134 0.1866  4 Cl 3.12-3.31
Tl: 0.7500 0.1866 0.8134  4 Cl 3.12-3.31
Cu: 0.3248 0.7464 0.6484  4 Cl 2.26-2.39
Cu: 0.1752 0.3516 0.2536  4 Cl 2.26-2.39
Cu: 0.6752 0.2536 0.3516  4 Cl 2.26-2.39
Cu: 0.8248 0.6484 0.7464  4 Cl 2.26-2.39
Cl: 0.1755 0.9541 0.8198  1 Mn 2.34, 1 Cu 2.38
Cl: 0.3245 0.1802 0.0459  1 Mn 2.34, 1 Cu 2.38
Cl: 0.8245 0.0459 0.1802  1 Mn 2.34, 1 Cu 2.38
Cl: 0.6755 0.8198 0.9541  1 Mn 2.34, 1 Cu 2.38
Cl: 0.4799 0.8419 0.3935  1 Mn 2.30, 1 Cu 2.39
Cl: 0.0201 0.6065 0.1581  1 Mn 2.30, 1 Cu 2.39
Cl: 0.5201 0.1581 0.6065  1 Mn 2.30, 1 Cu 2.39
Cl: 0.9799 0.3935 0.8419  1 Mn 2.30, 1 Cu 2.39
Cl: 0.0733 0.7302 0.5908  2 Cu 2.26-2.27
Cl: 0.4267 0.4092 0.2698  2 Cu 2.26-2.27
Cl: 0.9267 0.2698 0.4092  2 Cu 2.26-2.27
Cl: 0.5733 0.5908 0.7302  2 Cu 2.26-2.27